Ta4NbB6 | PBE-GGA | relaxed

Structure (CIF):
```
data_Ta4NbB6
_chemical_formula_sum 'Ta8 Nb2 B12'
_space_group_name_H-M_alt 'C m m m'
_space_group_IT_number 65
_space_group_name_Hall '-C 2 2'
_cell_length_a 3.1564
_cell_length_b 22.7725
_cell_length_c 3.3067
_cell_angle_alpha 90.00
_cell_angle_beta 90.00
_cell_angle_gamma 90.00
loop_
_atom_site_label
_atom_site_fract_x
_atom_site_fract_y
_atom_site_fract_z
_atom_site_occupancy
Ta1 0.0000 0.1144 0.0000 1
Ta2 0.0000 0.3056 0.5000 1
Nb1 0.0000 0.5000 0.0000 1
B1 0.0000 0.0397 0.5000 1
B2 0.0000 0.2268 0.0000 1
B3 0.0000 0.4176 0.5000 1
```


TbNbB | PBE-GGA | relaxed

Structure (CIF):
```
data_TbNbB
_chemical_formula_sum 'Tb4 Nb4 B4'
_space_group_name_H-M_alt 'F -4 3 m'
_space_group_IT_number 216
_space_group_name_Hall 'F -4 2 3'
_cell_length_a 5.9923
_cell_length_b 5.9923
_cell_length_c 5.9923
_cell_angle_alpha 90.00
_cell_angle_beta 90.00
_cell_angle_gamma 90.00
loop_
_atom_site_label
_atom_site_fract_x
_atom_site_fract_y
_atom_site_fract_z
_atom_site_occupancy
Tb1 0.0000 0.0000 0.0000 1
Nb1 0.0000 0.0000 0.5000 1
B1 0.2500 0.2500 0.7500 1
```


Nb2TcB2 | PBE-GGA | relaxed

Structure (CIF):
```
data_Nb2TcB2
_chemical_formula_sum 'Nb4 Tc2 B4'
_space_group_name_H-M_alt 'P 4/m b m'
_space_group_IT_number 127
_space_group_name_Hall '-P 4 2ab'
_cell_length_a 6.0480
_cell_length_b 6.0480
_cell_length_c 3.3082
_cell_angle_alpha 90.00
_cell_angle_beta 90.00
_cell_angle_gamma 90.00
loop_
_atom_site_label
_atom_site_fract_x
_atom_site_fract_y
_atom_site_fract_z
_atom_site_occupancy
Nb1 0.1763 0.3237 0.0000 1
Tc1 0.0000 0.0000 0.5000 1
B1 0.1106 0.6106 0.5000 1
```


Nb2TcB | PBE-GGA | relaxed

Structure (CIF):
```
data_Nb2TcB
_chemical_formula_sum 'Nb8 Tc4 B4'
_space_group_name_H-M_alt 'F -4 3 m'
_space_group_IT_number 216
_space_group_name_Hall 'F -4 2 3'
_cell_length_a 6.1341
_cell_length_b 6.1341
_cell_length_c 6.1341
_cell_angle_alpha 90.00
_cell_angle_beta 90.00
_cell_angle_gamma 90.00
loop_
_atom_site_label
_atom_site_fract_x
_atom_site_fract_y
_atom_site_fract_z
_atom_site_occupancy
Nb1 0.0000 0.0000 0.0000 1
Nb2 0.2500 0.2500 0.2500 1
Tc1 0.2500 0.2500 0.7500 1
B1 0.0000 0.0000 0.5000 1
```


NbTcB2 | PBE-GGA | relaxed

Structure (CIF):
```
data_NbTcB2
_chemical_formula_sum 'Nb4 Tc4 B8'
_space_group_name_H-M_alt 'F -4 3 m'
_space_group_IT_number 216
_space_group_name_Hall 'F -4 2 3'
_cell_length_a 5.7494
_cell_length_b 5.7494
_cell_length_c 5.7494
_cell_angle_alpha 90.00
_cell_angle_beta 90.00
_cell_angle_gamma 90.00
loop_
_atom_site_label
_atom_site_fract_x
_atom_site_fract_y
_atom_site_fract_z
_atom_site_occupancy
Nb1 0.0000 0.0000 0.0000 1
Tc1 0.2500 0.2500 0.7500 1
B1 0.0000 0.0000 0.5000 1
B2 0.2500 0.2500 0.2500 1
```


NbBTe2 | PBE-GGA | relaxed

Structure (CIF):
```
data_NbBTe2
_chemical_formula_sum 'Nb4 B4 Te8'
_space_group_name_H-M_alt 'F -4 3 m'
_space_group_IT_number 216
_space_group_name_Hall 'F -4 2 3'
_cell_length_a 6.8037
_cell_length_b 6.8037
_cell_length_c 6.8037
_cell_angle_alpha 90.00
_cell_angle_beta 90.00
_cell_angle_gamma 90.00
loop_
_atom_site_label
_atom_site_fract_x
_atom_site_fract_y
_atom_site_fract_z
_atom_site_occupancy
Nb1 0.0000 0.0000 0.0000 1
B1 0.2500 0.2500 0.2500 1
Te1 0.0000 0.0000 0.5000 1
Te2 0.2500 0.2500 0.7500 1
```


ThNbB | PBE-GGA | relaxed

Structure (CIF):
```
data_ThNbB
_chemical_formula_sum 'Th4 Nb4 B4'
_space_group_name_H-M_alt 'F -4 3 m'
_space_group_IT_number 216
_space_group_name_Hall 'F -4 2 3'
_cell_length_a 6.1611
_cell_length_b 6.1611
_cell_length_c 6.1611
_cell_angle_alpha 90.00
_cell_angle_beta 90.00
_cell_angle_gamma 90.00
loop_
_atom_site_label
_atom_site_fract_x
_atom_site_fract_y
_atom_site_fract_z
_atom_site_occupancy
Th1 0.0000 0.0000 0.0000 1
Nb1 0.0000 0.0000 0.5000 1
B1 0.2500 0.2500 0.7500 1
```


ThNbB4 | PBE-GGA | relaxed

Structure (CIF):
```
data_ThNbB4
_chemical_formula_sum 'Th1 Nb1 B4'
_space_group_name_H-M_alt 'P 6/m m m'
_space_group_IT_number 191
_space_group_name_Hall '-P 6 2'
_cell_length_a 3.1824
_cell_length_b 3.1824
_cell_length_c 7.6085
_cell_angle_alpha 90.00
_cell_angle_beta 90.00
_cell_angle_gamma 120.00
loop_
_atom_site_label
_atom_site_fract_x
_atom_site_fract_y
_atom_site_fract_z
_atom_site_occupancy
Th1 0.0000 0.0000 0.0000 1
Nb1 0.0000 0.0000 0.5000 1
B1 0.3333 0.6667 0.2822 1
```


Nb2TlB | PBE-GGA | relaxed

Structure (CIF):
```
data_Nb2TlB
_chemical_formula_sum 'Nb4 Tl2 B2'
_space_group_name_H-M_alt 'P 63/m m c'
_space_group_IT_number 194
_space_group_name_Hall '-P 6c 2c'
_cell_length_a 3.2670
_cell_length_b 3.2670
_cell_length_c 14.7112
_cell_angle_alpha 90.00
_cell_angle_beta 90.00
_cell_angle_gamma 120.00
loop_
_atom_site_label
_atom_site_fract_x
_atom_site_fract_y
_atom_site_fract_z
_atom_site_occupancy
Nb1 0.3333 0.6667 0.0839 1
Tl1 0.3333 0.6667 0.7500 1
B1 0.0000 0.0000 0.0000 1
```


Nb2TlB2 | PBE-GGA | relaxed

Structure (CIF):
```
data_Nb2TlB2
_chemical_formula_sum 'Nb4 Tl2 B4'
_space_group_name_H-M_alt 'C m m m'
_space_group_IT_number 65
_space_group_name_Hall '-C 2 2'
_cell_length_a 3.0408
_cell_length_b 14.7525
_cell_length_c 3.1983
_cell_angle_alpha 90.00
_cell_angle_beta 90.00
_cell_angle_gamma 90.00
loop_
_atom_site_label
_atom_site_fract_x
_atom_site_fract_y
_atom_site_fract_z
_atom_site_occupancy
Nb1 0.0000 0.1584 0.0000 1
Tl1 0.0000 0.5000 0.5000 1
B1 0.0000 0.2777 0.5000 1
```


Nb3TlB2 | PBE-GGA | relaxed

Structure (CIF):
```
data_Nb3TlB2
_chemical_formula_sum 'Nb6 Tl2 B4'
_space_group_name_H-M_alt 'P 63/m m c'
_space_group_IT_number 194
_space_group_name_Hall '-P 6c 2c'
_cell_length_a 3.3175
_cell_length_b 3.3175
_cell_length_c 19.6053
_cell_angle_alpha 90.00
_cell_angle_beta 90.00
_cell_angle_gamma 120.00
loop_
_atom_site_label
_atom_site_fract_x
_atom_site_fract_y
_atom_site_fract_z
_atom_site_occupancy
Nb1 0.0000 0.0000 0.0000 1
Nb2 0.3333 0.6667 0.1265 1
Tl1 0.0000 0.0000 0.2500 1
B1 0.3333 0.6667 0.5687 1
```


Nb4TlB3 | PBE-GGA | relaxed

Structure (CIF):
```
data_Nb4TlB3
_chemical_formula_sum 'Nb8 Tl2 B6'
_space_group_name_H-M_alt 'P 63/m m c'
_space_group_IT_number 194
_space_group_name_Hall '-P 6c 2c'
_cell_length_a 3.3128
_cell_length_b 3.3128
_cell_length_c 24.8231
_cell_angle_alpha 90.00
_cell_angle_beta 90.00
_cell_angle_gamma 120.00
loop_
_atom_site_label
_atom_site_fract_x
_atom_site_fract_y
_atom_site_fract_z
_atom_site_occupancy
Nb1 0.0000 0.0000 0.1529 1
Nb2 0.3333 0.6667 0.0511 1
Tl1 0.3333 0.6667 0.2500 1
B1 0.0000 0.0000 0.0000 1
B2 0.3333 0.6667 0.6069 1
```


NbTlB4 | PBE-GGA | relaxed

Structure (CIF):
```
data_NbTlB4
_chemical_formula_sum 'Nb1 Tl1 B4'
_space_group_name_H-M_alt 'P 6/m m m'
_space_group_IT_number 191
_space_group_name_Hall '-P 6 2'
_cell_length_a 3.0902
_cell_length_b 3.0902
_cell_length_c 8.5849
_cell_angle_alpha 90.00
_cell_angle_beta 90.00
_cell_angle_gamma 120.00
loop_
_atom_site_label
_atom_site_fract_x
_atom_site_fract_y
_atom_site_fract_z
_atom_site_occupancy
Nb1 0.0000 0.0000 0.0000 1
Tl1 0.0000 0.0000 0.5000 1
B1 0.3333 0.6667 0.1932 1
```


NbTlB4 | PBE-GGA | relaxed

Structure (CIF):
```
data_NbTlB4
_chemical_formula_sum 'Nb2 Tl2 B8'
_space_group_name_H-M_alt 'I m m m'
_space_group_IT_number 71
_space_group_name_Hall '-I 2 2'
_cell_length_a 3.1055
_cell_length_b 5.2764
_cell_length_c 7.9035
_cell_angle_alpha 90.00
_cell_angle_beta 90.00
_cell_angle_gamma 90.00
loop_
_atom_site_label
_atom_site_fract_x
_atom_site_fract_y
_atom_site_fract_z
_atom_site_occupancy
Nb1 0.0000 0.0000 0.0000 1
Tl1 0.0000 0.0000 0.5000 1
B1 0.0000 0.3353 0.2545 1
```


TmNbB | PBE-GGA | relaxed

Structure (CIF):
```
data_TmNbB
_chemical_formula_sum 'Tm4 Nb4 B4'
_space_group_name_H-M_alt 'F -4 3 m'
_space_group_IT_number 216
_space_group_name_Hall 'F -4 2 3'
_cell_length_a 6.2935
_cell_length_b 6.2935
_cell_length_c 6.2935
_cell_angle_alpha 90.00
_cell_angle_beta 90.00
_cell_angle_gamma 90.00
loop_
_atom_site_label
_atom_site_fract_x
_atom_site_fract_y
_atom_site_fract_z
_atom_site_occupancy
Tm1 0.0000 0.0000 0.0000 1
Nb1 0.2500 0.2500 0.2500 1
B1 0.2500 0.2500 0.7500 1
```


TmNbB | PBE-GGA | relaxed

Structure (CIF):
```
data_TmNbB
_chemical_formula_sum 'Tm4 Nb4 B4'
_space_group_name_H-M_alt 'F -4 3 m'
_space_group_IT_number 216
_space_group_name_Hall 'F -4 2 3'
_cell_length_a 5.9187
_cell_length_b 5.9187
_cell_length_c 5.9187
_cell_angle_alpha 90.00
_cell_angle_beta 90.00
_cell_angle_gamma 90.00
loop_
_atom_site_label
_atom_site_fract_x
_atom_site_fract_y
_atom_site_fract_z
_atom_site_occupancy
Tm1 0.0000 0.0000 0.0000 1
Nb1 0.0000 0.0000 0.5000 1
B1 0.2500 0.2500 0.7500 1
```


UNbB | PBE-GGA | relaxed

Structure (CIF):
```
data_UNbB
_chemical_formula_sum 'U4 Nb4 B4'
_space_group_name_H-M_alt 'F -4 3 m'
_space_group_IT_number 216
_space_group_name_Hall 'F -4 2 3'
_cell_length_a 5.8881
_cell_length_b 5.8881
_cell_length_c 5.8881
_cell_angle_alpha 90.00
_cell_angle_beta 90.00
_cell_angle_gamma 90.00
loop_
_atom_site_label
_atom_site_fract_x
_atom_site_fract_y
_atom_site_fract_z
_atom_site_occupancy
U1 0.0000 0.0000 0.0000 1
Nb1 0.0000 0.0000 0.5000 1
B1 0.2500 0.2500 0.7500 1
```


UNbB | PBE-GGA | relaxed

Structure (CIF):
```
data_UNbB
_chemical_formula_sum 'U4 Nb4 B4'
_space_group_name_H-M_alt 'F -4 3 m'
_space_group_IT_number 216
_space_group_name_Hall 'F -4 2 3'
_cell_length_a 6.0250
_cell_length_b 6.0250
_cell_length_c 6.0250
_cell_angle_alpha 90.00
_cell_angle_beta 90.00
_cell_angle_gamma 90.00
loop_
_atom_site_label
_atom_site_fract_x
_atom_site_fract_y
_atom_site_fract_z
_atom_site_occupancy
U1 0.0000 0.0000 0.0000 1
Nb1 0.2500 0.2500 0.2500 1
B1 0.2500 0.2500 0.7500 1
```


NbB2W2 | PBE-GGA | relaxed

Structure (CIF):
```
data_NbB2W2
_chemical_formula_sum 'Nb2 B4 W4'
_space_group_name_H-M_alt 'I 4/m m m'
_space_group_IT_number 139
_space_group_name_Hall '-I 4 2'
_cell_length_a 3.6149
_cell_length_b 3.6149
_cell_length_c 9.7853
_cell_angle_alpha 90.00
_cell_angle_beta 90.00
_cell_angle_gamma 90.00
loop_
_atom_site_label
_atom_site_fract_x
_atom_site_fract_y
_atom_site_fract_z
_atom_site_occupancy
Nb1 0.0000 0.0000 0.0000 1
B1 0.0000 0.0000 0.4132 1
W1 0.0000 0.5000 0.2500 1
```


NbBW | PBE-GGA | relaxed

Structure (CIF):
```
data_NbBW
_chemical_formula_sum 'Nb4 B4 W4'
_space_group_name_H-M_alt 'F -4 3 m'
_space_group_IT_number 216
_space_group_name_Hall 'F -4 2 3'
_cell_length_a 5.8675
_cell_length_b 5.8675
_cell_length_c 5.8675
_cell_angle_alpha 90.00
_cell_angle_beta 90.00
_cell_angle_gamma 90.00
loop_
_atom_site_label
_atom_site_fract_x
_atom_site_fract_y
_atom_site_fract_z
_atom_site_occupancy
Nb1 0.0000 0.0000 0.0000 1
B1 0.0000 0.0000 0.5000 1
W1 0.2500 0.2500 0.7500 1
```


So what do the calculations give for uncorrected energy? Going down the list: -0.71018, -0.50516, -0.69379, -0.65652, -0.55661, -0.33360, -0.57234, -0.58705, -0.55772, -0.54741, -0.59162, -0.60782, -0.48702, -0.45654, -0.39704, -0.50784, -0.66118, -0.59032, -0.72938, -0.62047 Ry/atom.
So what do the calculations give for theoretical density? Going down the list: 12318, 8108, 8383, 8479, 7428, 7570, 9536, 9162, 9794, 9533, 8970, 8565, 7965, 8733, 7265, 8734, 11120, 10378, 12524, 9455 kg/m³.